A relaxed Ac2FeIO6 crystal, computed with PBE with a Hubbard U.

It has space group P4mm (No. 99), with a = 5.755 Å, b = 5.755 Å, c = 5.005 Å, α = 90.00°, β = 90.00° and γ = 90.00°. The asymmetric unit holds Ac at (0.000, 0.500, 0.000), Fe at (0.000, 0.000, 0.564), I at (0.500, 0.500, 0.569), O at (0.000, 0.000, 0.186), O at (0.230, 0.230, 0.700) and O at (0.500, 0.500, 0.079).

The total magnetic moment comes out at 0.380 μB/atom. As for the total energy: -6.296 eV per atom.